Record 1
Here is a relaxed Er5PuSc4 crystal from Alexandria. Energies are from PBE.

The structure in extended XYZ format:
```
10
Lattice="-5.166 5.166 2.654 5.166 -5.166 2.654 5.166 5.166 -2.654" Properties=species:S:1:pos:R:3 pbc="T T T"
Er 0.000 0.000 0.000
Er 3.233 3.233 -0.020
Er 1.932 -1.932 2.634
Er -1.932 1.932 2.634
Er 1.932 1.932 2.634
Pu 0.000 0.000 2.657
Sc 5.166 -1.731 2.632
Sc 5.166 1.731 2.632
Sc -1.731 5.166 2.632
Sc 1.731 5.166 2.632
```

Results
SG	I4mm (107)
formation enthalpy at 0 K	34.6	kJ/mol of atoms


Record 2
Here is a relaxed ErPuSc14 crystal from Alexandria. Energies are from PBE.

The structure in extended XYZ format:
```
16
Lattice="10.274 0.000 0.000 0.000 3.700 5.230 0.000 -3.700 5.230" Properties=species:S:1:pos:R:3 pbc="T T T"
Er 0.000 0.000 0.000
Pu 0.000 0.000 5.703
Sc 0.000 -1.566 2.849
Sc 0.000 1.566 2.849
Sc 2.429 0.000 7.891
Sc 2.608 -1.575 5.041
Sc 2.608 1.575 5.041
Sc 2.755 0.000 2.174
Sc 5.137 0.000 4.336
Sc 5.137 -1.545 7.234
Sc 5.137 1.545 7.234
Sc 5.137 0.000 10.062
Sc 7.519 0.000 2.174
Sc 7.666 -1.575 5.041
Sc 7.666 1.575 5.041
Sc 7.845 0.000 7.891
```

Results
SG	Amm2 (38)
formation enthalpy at 0 K	6.2	kJ/mol of atoms


Record 3
Here is a relaxed ErPu2Sc8 crystal from Alexandria. Energies are from PBE.

The structure in extended XYZ format:
```
11
Lattice="7.610 -2.601 0.000 7.610 2.601 0.000 -3.876 0.000 6.984" Properties=species:S:1:pos:R:3 pbc="T T T"
Er 0.000 0.000 0.000
Pu 2.751 0.000 2.524
Pu 8.594 0.000 4.460
Sc -0.407 0.000 3.250
Sc -0.654 0.000 6.344
Sc 2.321 0.000 5.602
Sc 5.887 0.000 1.838
Sc 5.458 0.000 5.146
Sc 9.023 0.000 1.382
Sc 11.998 0.000 0.640
Sc 11.752 0.000 3.734
```

Results
SG	C2/m (12)
formation enthalpy at 0 K	9.9	kJ/mol of atoms


Record 4
Here is a relaxed Er4PuSc crystal from Alexandria. Energies are from PBE.

The structure in extended XYZ format:
```
12
Lattice="5.151 -2.998 0.000 5.151 2.998 0.000 -3.405 0.000 11.137" Properties=species:S:1:pos:R:3 pbc="T T T"
Er 2.610 1.534 5.589
Er 0.856 0.458 8.351
Er 2.584 1.534 11.116
Er 2.558 -0.458 2.783
Er 4.338 0.458 8.354
Er 4.313 -1.534 0.021
Er 6.041 -0.458 2.785
Er 4.286 -1.534 5.547
Pu 4.300 2.491 2.784
Pu 2.597 -2.491 8.353
Sc 2.575 1.499 0.000
Sc 0.873 -1.499 5.568
```

Results
SG	C2/c (15)
formation enthalpy at 0 K	7.1	kJ/mol of atoms


Record 5
Here is a relaxed Er3PuSc4 crystal from Alexandria. Energies are from PBE.

The structure in extended XYZ format:
```
16
Lattice="10.669 0.000 0.000 0.000 6.714 0.000 0.000 0.000 5.874" Properties=species:S:1:pos:R:3 pbc="T T T"
Er 0.000 0.841 0.000
Er 2.643 0.873 3.883
Er 2.692 5.841 0.946
Er 5.335 5.873 2.937
Er 7.978 5.841 0.946
Er 8.026 0.873 3.883
Pu 0.000 5.837 2.900
Pu 5.335 0.877 5.836
Sc 0.000 2.601 2.889
Sc 0.000 4.200 5.770
Sc 2.620 4.198 3.864
Sc 2.715 2.516 0.927
Sc 5.335 2.514 2.833
Sc 5.335 4.113 5.826
Sc 7.954 2.516 0.927
Sc 8.050 4.198 3.864
```

Results
SG	Pmn2_1 (31)
formation enthalpy at 0 K	31.8	kJ/mol of atoms


Record 6
Here is a relaxed Er2PuSc3 crystal from Alexandria. Energies are from PBE.

The structure in extended XYZ format:
```
6
Lattice="2.385 -7.133 0.000 2.385 7.133 0.000 0.000 0.000 4.680" Properties=species:S:1:pos:R:3 pbc="T T T"
Er 2.385 4.776 0.000
Er 2.385 -4.776 0.000
Pu 2.385 0.000 0.000
Sc 0.000 0.000 2.340
Sc 2.385 2.310 2.340
Sc 2.385 -2.310 2.340
```

Results
SG	Cmmm (65)
formation enthalpy at 0 K	7.9	kJ/mol of atoms


Record 7
Here is a relaxed Er3PuSc2Se6 crystal from Alexandria. Energies are from PBE.

The structure in extended XYZ format:
```
12
Lattice="8.722 -1.992 0.000 8.722 1.992 0.000 -1.839 0.000 7.822" Properties=species:S:1:pos:R:3 pbc="T T T"
Er 0.000 0.000 0.000
Er 4.654 0.000 5.217
Er 10.951 0.000 2.605
Pu -0.920 0.000 3.911
Sc 5.570 0.000 1.372
Sc 10.035 0.000 6.450
Se 2.844 0.000 0.595
Se 1.889 0.000 4.632
Se 8.222 0.000 1.898
Se 7.383 0.000 5.925
Se 13.716 0.000 3.190
Se 12.761 0.000 7.227
```

Results
SG	C2/m (12)
ΔE_f (raw)	-1647	meV per atom


Record 8
Here is a relaxed ErPu3Sc2Se6 crystal from Alexandria. Energies are from PBE.

The structure in extended XYZ format:
```
12
Lattice="8.798 -2.012 0.000 8.798 2.012 0.000 -1.849 0.000 7.871" Properties=species:S:1:pos:R:3 pbc="T T T"
Er 0.000 0.000 0.000
Pu -0.925 0.000 3.935
Pu 5.579 0.000 1.310
Pu 10.168 0.000 6.561
Sc 4.627 0.000 5.209
Sc 11.121 0.000 2.662
Se 2.742 0.000 0.764
Se 1.951 0.000 4.518
Se 7.302 0.000 5.920
Se 8.446 0.000 1.951
Se 13.796 0.000 3.353
Se 13.005 0.000 7.106
```

Results
SG	C2/m (12)
ΔE_f (raw)	-1591	meV per atom


Record 9
Here is a relaxed Er2PuScSe4 crystal from Alexandria. Energies are from PBE.

The structure in extended XYZ format:
```
8
Lattice="6.976 0.000 0.000 0.000 4.009 0.000 -2.290 0.000 6.600" Properties=species:S:1:pos:R:3 pbc="T T T"
Er 0.000 0.000 0.000
Er -1.145 2.004 3.300
Pu 2.343 0.000 3.300
Sc 3.488 2.004 0.000
Se 1.179 2.004 1.592
Se 0.035 0.000 5.014
Se 4.651 0.000 1.586
Se 3.507 2.004 5.008
```

Results
SG	P2/m (10)
ΔE_f (raw)	-1638	meV per atom


Record 10
Here is a relaxed Er3Pu2ScSe6 crystal from Alexandria. Energies are from PBE.

The structure in extended XYZ format:
```
12
Lattice="8.824 -2.016 0.000 8.824 2.016 0.000 -1.911 0.000 7.902" Properties=species:S:1:pos:R:3 pbc="T T T"
Er 0.000 0.000 0.000
Er 4.564 0.000 5.258
Er 11.172 0.000 2.644
Pu 5.593 0.000 1.332
Pu 10.143 0.000 6.570
Sc -0.956 0.000 3.951
Se 1.772 0.000 4.545
Se 2.750 0.000 0.692
Se 7.339 0.000 5.856
Se 8.397 0.000 2.046
Se 12.987 0.000 7.209
Se 13.965 0.000 3.357
```

Results
SG	C2/m (12)
ΔE_f (raw)	-1642	meV per atom


Record 11
Here is a relaxed SmErPuSc crystal from Alexandria. Energies are from PBE.

The structure in extended XYZ format:
```
4
Lattice="0.000 3.872 3.872 3.872 0.000 3.872 3.872 3.872 0.000" Properties=species:S:1:pos:R:3 pbc="T T T"
Sm 0.000 0.000 0.000
Er 5.809 5.809 5.809
Pu 3.872 3.872 3.872
Sc 1.936 1.936 1.936
```

Results
SG	F-43m (216)
formation enthalpy at 0 K	18.0	kJ/mol of atoms


Record 12
Here is a relaxed ErPu2Sc3Te6 crystal from Alexandria. Energies are from PBE.

The structure in extended XYZ format:
```
12
Lattice="9.340 -2.127 0.000 9.340 2.127 0.000 -2.055 0.000 8.349" Properties=species:S:1:pos:R:3 pbc="T T T"
Er 0.000 0.000 0.000
Pu 4.871 0.000 5.577
Pu 11.754 0.000 2.773
Sc -1.028 0.000 4.175
Sc 5.845 0.000 1.391
Sc 10.779 0.000 6.958
Te 1.820 0.000 4.951
Te 2.995 0.000 0.587
Te 8.712 0.000 2.124
Te 7.912 0.000 6.225
Te 13.629 0.000 7.763
Te 14.804 0.000 3.398
```

Results
SG	C2/m (12)
ΔE_f (raw)	-1131	meV per atom


Here are the calculated M_tot numbers, same order: 0.5648, 0.4910, 1.1311, 1.1161, 0.0134, 1.0773, 0.5100, 0.4803, 0.7439, 0.9871, 1.4990, 1.0038 (μB per atom).